Rb3Mn2VF9: relaxed, PBE+U.

Energy (eV for the cell shown): -83.6
M_tot (μB/cell): 13.0

a b c (Å): 6.0741 6.0741 7.4370
angles (deg): 90.00 90.00 120.00
Last column: nearest neighbours and their distance in Å.
Sites, in units of the cell vectors:
F 0.5000 0.5000 0.0000  2 Mn 2.15
F 0.6678 0.8339 0.3342  1 V 2.14, 1 Mn 2.15
F 0.8339 0.1661 0.6658  1 V 2.14, 1 Mn 2.15
F 0.8339 0.6678 0.6658  1 V 2.14, 1 Mn 2.15
F 0.3322 0.1661 0.6658  1 V 2.14, 1 Mn 2.15
F 0.1661 0.3322 0.3342  1 V 2.14, 1 Mn 2.15
F 0.5000 0.0000 0.0000  2 Mn 2.15
F 0.1661 0.8339 0.3342  1 V 2.14, 1 Mn 2.15
F 0.0000 0.5000 0.0000  2 Mn 2.15
Rb 0.0000 0.0000 0.0000  12 F 3.04
Rb 0.3333 0.6667 0.6660  12 F 3.03-3.04
Rb 0.6667 0.3333 0.3340  12 F 3.03-3.04
Mn 0.6667 0.3333 0.8324  6 F 2.15
Mn 0.3333 0.6667 0.1676  6 F 2.15
V 0.0000 0.0000 0.5000  6 F 2.14